Entry 1:
# TlAs2N2 | Alexandria via LeMat-Bulk | GGA-PBE | relaxed
# Theoretical density = 6.46 g/cm³
data_TlAs2N2
_chemical_formula_sum 'Tl2 As4 N4'
_space_group_name_H-M_alt 'I 4/m m m'
_space_group_IT_number 139
_space_group_name_Hall '-I 4 2'
_cell_length_a 4.2328
_cell_length_b 4.2328
_cell_length_c 10.9645
_cell_angle_alpha 90.00
_cell_angle_beta 90.00
_cell_angle_gamma 90.00
loop_
_atom_site_label
_atom_site_fract_x
_atom_site_fract_y
_atom_site_fract_z
Tl1 0.0000 0.0000 0.0000
As1 0.0000 0.5000 0.2500
N1 0.0000 0.0000 0.2741

Entry 2:
# TlAsN2 | Alexandria via LeMat-Bulk | GGA-PBE | relaxed
# Theoretical density = 7.35 g/cm³
data_TlAsN2
_chemical_formula_sum 'Tl3 As3 N6'
_space_group_name_H-M_alt 'R -3 m'
_space_group_IT_number 166
_space_group_name_Hall '-R 3 2"'
_cell_length_a 3.6131
_cell_length_b 3.6131
_cell_length_c 18.4319
_cell_angle_alpha 90.00
_cell_angle_beta 90.00
_cell_angle_gamma 120.00
loop_
_atom_site_label
_atom_site_fract_x
_atom_site_fract_y
_atom_site_fract_z
Tl1 0.0000 0.0000 0.0000
As1 0.0000 0.0000 0.5000
N1 0.0000 0.0000 0.4022

Entry 3:
# TlAsN | Alexandria via LeMat-Bulk | GGA-PBE | relaxed
# Theoretical density = 6.87 g/cm³
data_TlAsN
_chemical_formula_sum 'Tl2 As2 N2'
_space_group_name_H-M_alt 'P -1'
_space_group_IT_number 2
_space_group_name_Hall '-P 1'
_cell_length_a 3.8208
_cell_length_b 5.2623
_cell_length_c 7.3285
_cell_angle_alpha 74.18
_cell_angle_beta 89.95
_cell_angle_gamma 89.24
loop_
_atom_site_label
_atom_site_fract_x
_atom_site_fract_y
_atom_site_fract_z
Tl1 0.2449 0.2986 0.3594
As1 0.2479 0.1181 0.8835
N1 0.2510 0.9825 0.6885

Entry 4:
# TlAsN2 | Alexandria via LeMat-Bulk | GGA-PBE | relaxed
# Theoretical density = 9.08 g/cm³
data_TlAsN2
_chemical_formula_sum 'Tl3 As3 N6'
_space_group_name_H-M_alt 'R -3 m'
_space_group_IT_number 166
_space_group_name_Hall '-R 3 2"'
_cell_length_a 3.0259
_cell_length_b 3.0259
_cell_length_c 21.2706
_cell_angle_alpha 90.00
_cell_angle_beta 90.00
_cell_angle_gamma 120.00
loop_
_atom_site_label
_atom_site_fract_x
_atom_site_fract_y
_atom_site_fract_z
Tl1 0.0000 0.0000 0.0000
As1 0.0000 0.0000 0.5000
N1 0.0000 0.0000 0.1192

Number 1: formation energy (no corrections) 892 meV/atom. Number 2: formation energy (no corrections) 1125 meV/atom. Number 3: formation energy (no corrections) 477 meV/atom. Number 4: formation energy (no corrections) 723 meV/atom.